Entry from the Alexandria database: an optimized crystal structure of LaSmZnPb (PBE).

Cell: 7.687 7.687 7.687 Å, 90.00 90.00 90.00°
Space group F-43m (No. 216)
One atom of each set of equivalent atoms:
La 0.000 0.000 0.000
Sm 0.000 0.000 0.500
Zn 0.250 0.250 0.750
Pb 0.250 0.250 0.250


Entry from the Alexandria database: an optimized crystal structure of Dy8ZnCu2 (PBE).

Cell: 17.503 5.081 6.781 Å, 90.00 107.41 90.00°
Space group C2/m (No. 12)
One atom of each set of equivalent atoms:
Dy 0.032 0.000 0.282
Dy 0.093 0.500 0.964
Dy 0.172 0.500 0.486
Dy 0.197 0.000 0.827
Zn 0.000 0.500 0.500
Cu 0.182 0.000 0.220

Calculated values
As for the excess energy over the best structure of this formula in the dataset: 0.00 eV per formula unit.


Table of VASP energy (eV for the cell shown), in record order: -65.23 -95.45